1.
DFT (GGA-PBE) results for a relaxed structure of NaPPtO2.

E_tot = -3.5270 eV per atom
DOS(E_F) = 0.7855 states/eV/atom
Spin magnetization = 2.88 Bohr magnetons per cell

```
NaPPtO2
1.0
3.866 0.000 0.000
0.000 3.866 0.000
0.000 0.000 5.553
Na P Pt O
1 1 1 2
Cartesian
0.000 0.000 0.000
0.000 0.000 2.777
1.933 1.933 2.777
0.000 1.933 0.000
1.933 0.000 0.000
```



2.
DFT (GGA-PBE) results for a relaxed structure of LiBi3Se4.

E_tot = -3.8065 eV per atom
DOS(E_F) = 0.3237 states/eV/atom
Spin magnetization = 0.00 Bohr magnetons per cell

```
LiBi3Se4
1.0
8.926 0.000 0.000
0.000 8.878 0.000
0.000 0.000 6.211
Li Bi Se
2 6 8
Cartesian
0.000 1.928 0.000
4.463 6.950 3.106
0.000 7.817 3.738
1.707 5.929 0.467
2.756 2.948 3.573
4.463 1.061 0.633
6.170 2.948 3.573
7.219 5.929 0.467
0.000 1.974 3.523
0.000 8.203 0.857
2.048 5.923 3.370
2.415 2.955 0.264
4.463 0.675 3.962
4.463 6.903 0.418
6.511 2.955 0.264
6.878 5.923 3.370
```



3.
DFT (GGA-PBE) results for a relaxed structure of BaLa3Pt.

E_tot = -4.9331 eV per atom
Calculated formation energy = -1.9 eV per formula unit
DOS(E_F) = 1.3474 states/eV/atom
Spin magnetization = 0.00 Bohr magnetons per cell

```
BaLa3Pt
1.0
10.940 -2.703 0.000
10.940 2.703 0.000
-1.364 0.000 6.391
Ba La Pt
2 6 2
Cartesian
1.327 0.000 1.915
19.189 0.000 4.475
2.893 0.000 5.826
5.924 0.000 2.842
9.290 0.000 1.220
11.226 0.000 5.171
14.592 0.000 3.549
17.623 0.000 0.565
5.834 0.000 5.751
14.682 0.000 0.639
```



4.
DFT (GGA-PBE) results for a relaxed structure of KWCl2.

E_tot = -4.2428 eV per atom
DOS(E_F) = 0.3964 states/eV/atom
Spin magnetization = 0.00 Bohr magnetons per cell

```
KWCl2
1.0
3.326 0.000 0.000
-1.663 2.881 0.000
0.000 0.000 28.769
K W Cl
3 3 6
Cartesian
0.000 0.000 0.000
0.000 1.920 19.179
1.663 0.960 9.590
0.000 0.000 14.385
0.000 1.920 4.795
1.663 0.960 23.974
0.000 0.000 6.476
0.000 0.000 22.293
0.000 1.920 12.704
0.000 1.920 25.655
1.663 0.960 3.114
1.663 0.960 16.066
```



5.
DFT (GGA-PBE) results for a relaxed structure of ThAlFe.

E_tot = -6.6644 eV per atom
Calculated formation energy = -0.4 eV per formula unit
DOS(E_F) = 0.9696 states/eV/atom
Spin magnetization = 0.85 Bohr magnetons per cell

```
ThAlFe
1.0
4.298 0.000 0.000
-2.149 3.723 0.000
0.000 0.000 3.872
Th Al Fe
1 1 1
Cartesian
0.000 0.000 0.000
0.000 2.482 1.936
2.149 1.241 1.936
```



6.
DFT (GGA-PBE) results for a relaxed structure of Al2HPtRh.

E_tot = -5.4742 eV per atom
DOS(E_F) = 0.4804 states/eV/atom
Spin magnetization = 0.00 Bohr magnetons per cell

```
Al2HPtRh
1.0
4.152 0.000 0.000
0.000 4.152 0.000
0.000 0.000 3.474
Al H Pt Rh
2 1 1 1
Cartesian
0.000 2.076 0.000
2.076 0.000 0.000
0.000 0.000 0.000
2.076 2.076 1.737
0.000 0.000 1.737
```



7.
DFT (GGA-PBE) results for a relaxed structure of NaSr2RhPb.

E_tot = -2.4275 eV per atom
Calculated formation energy = 3.6 eV per formula unit
DOS(E_F) = 0.7405 states/eV/atom
Spin magnetization = 0.00 Bohr magnetons per cell

```
NaSr2RhPb
1.0
5.831 0.000 0.000
0.000 5.831 0.000
0.000 0.000 5.131
Na Sr Rh Pb
1 2 1 1
Cartesian
0.000 0.000 0.000
0.000 2.916 0.000
2.916 0.000 0.000
2.916 2.916 2.565
0.000 0.000 2.565
```



8.
DFT (GGA-PBE) results for a relaxed structure of KSc2InHg.

E_tot = -2.1652 eV per atom
Calculated formation energy = 6.0 eV per formula unit
DOS(E_F) = 1.2093 states/eV/atom
Spin magnetization = 0.44 Bohr magnetons per cell

```
KSc2InHg
1.0
5.262 0.000 0.000
0.000 5.262 0.000
0.000 0.000 5.445
K Sc In Hg
1 2 1 1
Cartesian
0.000 0.000 0.000
0.000 2.631 0.000
2.631 0.000 0.000
2.631 2.631 2.722
0.000 0.000 2.722
```



9.
DFT (GGA-PBE) results for a relaxed structure of TmBiH.

E_tot = -4.2854 eV per atom
DOS(E_F) = 0.1404 states/eV/atom
Spin magnetization = 0.00 Bohr magnetons per cell

```
TmBiH
1.0
6.083 0.000 0.000
0.000 6.125 0.000
-3.012 0.000 7.990
Tm Bi H
4 4 4
Cartesian
0.016 0.000 2.677
0.014 3.062 5.312
3.057 3.062 2.677
3.055 0.000 5.312
0.015 3.062 2.136
0.014 0.000 5.854
3.057 0.000 2.136
3.056 3.062 5.854
-2.623 0.000 7.984
2.652 3.062 0.006
0.418 3.062 7.984
5.694 0.000 0.006
```



10.
DFT (GGA-PBE) results for a relaxed structure of La2PmY5.

E_tot = -5.8385 eV per atom
Calculated formation energy = 0.2 eV per formula unit
DOS(E_F) = 1.6637 states/eV/atom
Spin magnetization = 0.00 Bohr magnetons per cell

```
La2PmY5
1.0
7.234 0.000 0.000
0.000 14.478 0.000
0.000 0.000 5.157
La Pm Y
4 2 10
Cartesian
1.786 1.814 0.000
1.831 9.053 0.000
5.403 5.425 0.000
5.449 12.664 0.000
0.000 7.239 2.578
3.617 0.000 2.578
0.000 0.000 2.578
0.037 10.863 2.578
1.774 5.437 0.000
1.844 12.676 0.000
3.580 3.623 2.578
3.617 7.239 2.578
3.654 10.855 2.578
5.391 1.803 0.000
5.461 9.042 0.000
7.197 3.616 2.578
```



11.
DFT (GGA-PBE) results for a relaxed structure of Pr2Cd3Pt4.

E_tot = -4.7336 eV per atom
Calculated formation energy = -6.1 eV per formula unit
DOS(E_F) = 0.5601 states/eV/atom
Spin magnetization = 0.00 Bohr magnetons per cell

```
Pr2Cd3Pt4
1.0
2.906 -8.743 0.000
2.906 8.743 0.000
0.000 0.000 7.604
Pr Cd Pt
4 6 8
Cartesian
2.906 6.931 6.936
2.906 1.813 3.134
2.906 -1.813 4.470
2.906 -6.931 0.668
0.000 0.000 3.802
1.453 4.150 5.703
1.453 -4.150 1.901
2.906 0.000 0.000
4.358 4.150 5.703
4.358 -4.150 1.901
2.906 5.932 3.995
1.453 1.309 5.703
1.453 -1.309 1.901
2.906 2.812 0.193
2.906 -2.812 7.411
4.358 1.309 5.703
4.358 -1.309 1.901
2.906 -5.932 3.609
```



12.
DFT (GGA-PBE) results for a relaxed structure of KCo2Te.

E_tot = -4.2702 eV per atom
DOS(E_F) = 1.1341 states/eV/atom
Spin magnetization = 10.86 Bohr magnetons per cell

```
KCo2Te
1.0
4.938 0.000 0.000
0.000 4.938 0.000
0.000 0.000 17.173
K Co Te
4 8 4
Cartesian
0.000 1.234 6.440
0.000 3.703 10.733
2.469 1.234 2.147
2.469 3.703 15.026
0.000 0.000 0.000
0.000 2.469 0.000
1.234 1.234 12.880
1.234 3.703 4.293
2.469 0.000 8.587
2.469 2.469 8.587
3.703 1.234 12.880
3.703 3.703 4.293
0.000 1.234 15.026
0.000 3.703 2.147
2.469 1.234 10.733
2.469 3.703 6.440
```



Question: DOS(E_F) of number 3 (BaLa3Pt)?
Answer: 1.3474 states/eV/atom



Repeat the fourth record exactly.
DFT (GGA-PBE) results for a relaxed structure of KWCl2.

E_tot = -4.2428 eV per atom
DOS(E_F) = 0.3964 states/eV/atom
Spin magnetization = 0.00 Bohr magnetons per cell

```
KWCl2
1.0
3.326 0.000 0.000
-1.663 2.881 0.000
0.000 0.000 28.769
K W Cl
3 3 6
Cartesian
0.000 0.000 0.000
0.000 1.920 19.179
1.663 0.960 9.590
0.000 0.000 14.385
0.000 1.920 4.795
1.663 0.960 23.974
0.000 0.000 6.476
0.000 0.000 22.293
0.000 1.920 12.704
0.000 1.920 25.655
1.663 0.960 3.114
1.663 0.960 16.066
```